ReCl6 PBE-GGA relaxed; energy above the most stable polymorph in this dataset = 0 meV/atom; volume = 205.5 Å³ per cell; electronic total energy = -0.1433 Ha/atom; E_form (uncorrected) = -0.5376 eV/atom; SG = No. 148
1.0
6.869 -0.017 -0.011
3.900 5.655 -0.011
3.900 2.042 5.273
Cl Re
6 1
Direct
0.366 0.780 0.083 Cl
0.083 0.366 0.780 Cl
0.220 0.917 0.634 Cl
0.634 0.220 0.917 Cl
0.780 0.083 0.366 Cl
0.917 0.634 0.220 Cl
0.000 0.000 0.000 Re

---

ReRh2Cl PBE-GGA relaxed; energy above the most stable polymorph in this dataset = 337 meV/atom; volume = 72.5 Å³ per cell; electronic total energy = -0.2488 Ha/atom; E_form (uncorrected) = 0.4784 eV/atom; SG = No. 44
1.0
6.719 0.023 -0.003
4.822 4.679 0.003
-5.399 -3.262 2.313
Re Cl Rh
1 1 2
Direct
0.270 0.770 0.500 Re
0.433 0.433 0.000 Cl
0.088 0.088 0.000 Rh
0.709 0.209 0.500 Rh

---

Re2RhCl PBE-GGA relaxed; energy above the most stable polymorph in this dataset = 302 meV/atom; volume = 59.4 Å³ per cell; electronic total energy = -0.2922 Ha/atom; E_form (uncorrected) = 0.5724 eV/atom; SG = No. 6
1.0
-3.250 0.557 -2.263
-1.616 -0.003 2.321
-0.215 5.198 1.588
Re Rh Cl
2 1 1
Direct
0.500 0.182 0.262 Re
0.000 0.807 0.008 Re
0.000 0.559 0.507 Rh
0.500 0.952 0.723 Cl

---

ReRh2Cl PBE-GGA relaxed; energy above the most stable polymorph in this dataset = 425 meV/atom; volume = 61.1 Å³ per cell; electronic total energy = -0.2456 Ha/atom; E_form (uncorrected) = 0.5657 eV/atom; SG = No. 35
1.0
-1.697 1.017 2.022
-0.982 -1.772 -1.975
2.045 -6.933 5.204
Rh Cl Re
2 1 1
Direct
0.500 0.500 0.253 Rh
0.000 0.000 0.994 Rh
0.000 0.000 0.506 Cl
0.500 0.500 0.746 Re

---

Re2RhCl PBE-GGA relaxed; energy above the most stable polymorph in this dataset = 237 meV/atom; volume = 59.1 Å³ per cell; electronic total energy = -0.2946 Ha/atom; E_form (uncorrected) = 0.5073 eV/atom; SG = No. 166
1.0
8.699 -0.014 -0.008
8.244 2.775 -0.008
8.244 1.343 2.428
Re Cl Rh
2 1 1
Direct
0.001 0.001 0.001 Re
0.499 0.499 0.499 Re
0.750 0.750 0.750 Cl
0.250 0.250 0.250 Rh

---

ReRhCl3 PBE-GGA relaxed; energy above the most stable polymorph in this dataset = 17 meV/atom; volume = 110.8 Å³ per cell; electronic total energy = -0.1530 Ha/atom; E_form (uncorrected) = 0.9036 eV/atom; SG = No. 221
1.0
-3.567 -0.861 -3.099
2.006 -4.213 -1.139
-2.514 -2.140 3.488
Cl Rh Re
3 1 1
Direct
0.500 0.000 0.000 Cl
0.000 0.500 0.000 Cl
0.000 0.000 0.500 Cl
0.500 0.500 0.500 Rh
0.000 0.000 0.000 Re

---

One value per record, in order, for total magnetization: 1.0 0.0 0.0 0.5 0.0 2.3 Bohr magnetons per cell.